# PBE ZnSbP2W, optimized geometry
data_ZnSbP2W
_space_group_name_H-M_alt 'P 4/m m m'
_space_group_IT_number 123
_space_group_name_Hall '-P 4 2'
_cell_length_a 4.499
_cell_length_b 4.499
_cell_length_c 5.058
_cell_angle_alpha 90.00
_cell_angle_beta 90.00
_cell_angle_gamma 90.00
loop_
_atom_site_label
_atom_site_type_symbol
_atom_site_fract_x
_atom_site_fract_y
_atom_site_fract_z
Zn1 Zn 0.000 0.000 0.000
Sb1 Sb 0.500 0.500 0.500
P1 P 0.000 0.500 0.000
W1 W 0.000 0.000 0.500
# - Energy relative to the elements, uncorrected: 1390 meV/atom
# - VASP energy: -4.444 eV per atom

# PBE YSb2P, optimized geometry
data_YSb2P
_space_group_name_H-M_alt 'R -3 m'
_space_group_IT_number 166
_space_group_name_Hall '-R 3 2"'
_cell_length_a 4.0805
_cell_length_b 4.0805
_cell_length_c 21.8658
_cell_angle_alpha 90.00
_cell_angle_beta 90.00
_cell_angle_gamma 120.00
loop_
_atom_site_label
_atom_site_type_symbol
_atom_site_fract_x
_atom_site_fract_y
_atom_site_fract_z
Y1 Y 0.0000 0.0000 0.0000
Sb1 Sb 0.0000 0.0000 0.2390
P1 P 0.0000 0.0000 0.5000
# - Energy relative to the elements, uncorrected: -183 meV/atom
# - VASP energy: -5.212 eV per atom

# PBE Y2SbP, optimized geometry
data_Y2SbP
_space_group_name_H-M_alt 'P 4/m m m'
_space_group_IT_number 123
_space_group_name_Hall '-P 4 2'
_cell_length_a 4.216
_cell_length_b 4.216
_cell_length_c 5.971
_cell_angle_alpha 90.00
_cell_angle_beta 90.00
_cell_angle_gamma 90.00
loop_
_atom_site_label
_atom_site_type_symbol
_atom_site_fract_x
_atom_site_fract_y
_atom_site_fract_z
Y1 Y 0.000 0.000 0.000
Y2 Y 0.500 0.500 0.500
Sb1 Sb 0.000 0.000 0.500
P1 P 0.500 0.500 0.000
# - Energy relative to the elements, uncorrected: -1285 meV/atom
# - VASP energy: -6.900 eV per atom